Material: LiV2O3F
Method: DFT, PBE with a Hubbard U
State: relaxed

Cell and atoms, written as CIF:
```
data_LiV2O3F
_chemical_formula_sum 'Li8 V16 O24 F8'
_cell_length_a 6.098
_cell_length_b 12.040
_cell_length_c 8.535
_cell_angle_alpha 90.00
_cell_angle_beta 90.00
_cell_angle_gamma 90.00
_symmetry_space_group_name_H-M 'I m m 2'
_symmetry_Int_Tables_number 44
loop_
_symmetry_equiv_pos_as_xyz
'x,y,z'
'-x,-y,z'
'-x,y,z'
'x,-y,z'
'x+1/2,y+1/2,z+1/2'
'-x+1/2,-y+1/2,z+1/2'
'-x+1/2,y+1/2,z+1/2'
'x+1/2,-y+1/2,z+1/2'
loop_
_atom_site_label
_atom_site_fract_x
_atom_site_fract_y
_atom_site_fract_z
_atom_site_occupancy
Li1 0.000 0.123 0.000 1
Li2 0.000 0.372 0.778 1
V1 0.000 0.000 0.376 1
V2 0.000 0.248 0.406 1
V3 0.000 0.500 0.407 1
V4 0.243 0.125 0.645 1
O1 0.000 0.000 0.627 1
O2 0.000 0.233 0.646 1
O3 0.000 0.500 0.153 1
O4 0.219 0.374 0.379 1
O5 0.225 0.126 0.411 1
F1 0.000 0.000 0.144 1
F2 0.000 0.255 0.148 1
F3 0.000 0.500 0.646 1
```

Summary:
Energy relative to the lowest polymorph listed for this composition = 6 meV/atom
Crystal system = orthorhombic